{
  "formula": "MgInReW",
  "functional": "PBE",
  "state": "relaxed",
  "lattice_angstrom": [[0.000, 3.247, 3.247], [3.247, 0.000, 3.247], [3.247, 3.247, 0.000]],
  "species": ["Mg", "In", "Re", "W"],
  "fractional_positions": [[0.000, 0.000, 0.000], [0.500, 0.500, 0.500], [0.250, 0.250, 0.250], [0.750, 0.750, 0.750]],
  "polymorph_energy_ev_per_fu": 2.45,
  "volume_a3_per_atom": 17.12,
  "spacegroup": "F-43m (216)"
}

---

{
  "formula": "RbDy2Zn2",
  "functional": "PBE",
  "state": "relaxed",
  "lattice_angstrom": [[-5.056, 5.097, 2.971], [5.056, -5.097, 2.971], [5.056, 5.097, -2.971]],
  "species": ["Rb", "Rb", "Dy", "Dy", "Dy", "Dy", "Zn", "Zn", "Zn", "Zn"],
  "fractional_positions": [[0.250, 0.250, 0.000], [0.750, 0.750, 0.000], [0.114, 0.612, 0.726], [0.386, 0.112, 0.497], [0.614, 0.888, 0.503], [0.886, 0.388, 0.274], [0.175, 0.316, 0.490], [0.325, 0.816, 0.141], [0.675, 0.184, 0.859], [0.825, 0.684, 0.510]],
  "volume_a3_per_atom": 30.63,
  "dft_energy_ev_per_cell": -24.3,
  "spacegroup": "Ibam (72)"
}

---

{
  "formula": "Tm3Mg3CdAu2",
  "functional": "PBE",
  "state": "relaxed",
  "lattice_angstrom": [[7.609, 0.000, 0.000], [-3.805, 6.590, 0.000], [0.000, 0.000, 4.102]],
  "species": ["Tm", "Tm", "Tm", "Mg", "Mg", "Mg", "Cd", "Au", "Au"],
  "fractional_positions": [[0.000, 0.580, 0.000], [0.420, 0.420, 0.000], [0.580, 0.000, 0.000], [0.000, 0.255, 0.500], [0.255, 0.000, 0.500], [0.745, 0.745, 0.500], [0.000, 0.000, 0.000], [0.333, 0.667, 0.500], [0.667, 0.333, 0.500]],
  "volume_a3_per_atom": 22.86,
  "dft_energy_ev_per_cell": -30.2,
  "spacegroup": "P-62m (189)"
}